Arrangement A

The following is a PBE calculation of crystalline CuH3Au at its relaxed geometry, from the Alexandria database.

Lattice parameters (Å, degrees): 3.513 3.513 3.513 90.00 90.00 90.00
Fractional coordinates of all 5 atoms:
Cu: 0.000 0.000 0.000
H: 0.000 0.000 0.500
H: 0.000 0.500 0.000
H: 0.500 0.000 0.000
Au: 0.500 0.500 0.500



Arrangement B

The following is a PBE calculation of crystalline CuH3Au at its relaxed geometry, from the Alexandria database.

Lattice parameters (Å, degrees): 3.640 3.640 3.640 90.00 90.00 90.00
Fractional coordinates of all 5 atoms:
Cu: 0.000 0.000 0.000
H: 0.000 0.500 0.500
H: 0.500 0.000 0.500
H: 0.500 0.500 0.000
Au: 0.500 0.500 0.500



Of them, arrangement B has the highest stability.



Arrangement A

The following is a PBE calculation of crystalline CuH2Au2 at its relaxed geometry, from the Alexandria database.

Lattice parameters (Å, degrees): 6.983 6.983 2.766 90.00 90.00 90.00
Fractional coordinates of all 10 atoms:
Cu: 0.000 0.000 0.000
Cu: 0.500 0.500 0.000
H: 0.244 0.256 0.500
H: 0.256 0.756 0.500
H: 0.744 0.244 0.500
H: 0.756 0.744 0.500
Au: 0.148 0.648 0.000
Au: 0.352 0.148 0.000
Au: 0.648 0.852 0.000
Au: 0.852 0.352 0.000



Arrangement B

The following is a PBE calculation of crystalline CuH2Au2 at its relaxed geometry, from the Alexandria database.

Lattice parameters (Å, degrees): 5.564 5.564 5.564 144.68 144.68 50.81
Fractional coordinates of all 5 atoms:
Cu: 0.000 0.000 0.000
H: 0.250 0.750 0.500
H: 0.750 0.250 0.500
Au: 0.361 0.361 0.000
Au: 0.639 0.639 0.000



Of them, arrangement B has the highest stability.



Arrangement A

The following is a PBE calculation of crystalline La2CuHAu at its relaxed geometry, from the Alexandria database.

Lattice parameters (Å, degrees): 5.179 5.179 3.993 90.00 90.00 90.00
Fractional coordinates of all 5 atoms:
La: 0.000 0.500 0.000
La: 0.500 0.000 0.000
Cu: 0.000 0.000 0.500
H: 0.500 0.500 0.000
Au: 0.500 0.500 0.500



Arrangement B

The following is a PBE calculation of crystalline La2CuHAu at its relaxed geometry, from the Alexandria database.

Lattice parameters (Å, degrees): 5.200 5.200 3.868 90.00 90.00 90.00
Fractional coordinates of all 5 atoms:
La: 0.000 0.500 0.000
La: 0.500 0.000 0.000
Cu: 0.000 0.000 0.500
H: 0.000 0.000 0.000
Au: 0.500 0.500 0.500



Of them, arrangement B has the highest stability.



Arrangement A

The following is a PBE calculation of crystalline LiCu2HAu at its relaxed geometry, from the Alexandria database.

Lattice parameters (Å, degrees): 3.727 3.727 4.061 90.00 90.00 90.00
Fractional coordinates of all 5 atoms:
Li: 0.000 0.000 0.000
Cu: 0.000 0.500 0.500
Cu: 0.500 0.000 0.500
H: 0.000 0.000 0.500
Au: 0.500 0.500 0.000



Arrangement B

The following is a PBE calculation of crystalline LiCu2HAu at its relaxed geometry, from the Alexandria database.

Lattice parameters (Å, degrees): 3.777 3.777 4.092 90.00 90.00 90.00
Fractional coordinates of all 5 atoms:
Li: 0.000 0.000 0.000
Cu: 0.000 0.500 0.500
Cu: 0.500 0.000 0.500
H: 0.500 0.500 0.500
Au: 0.500 0.500 0.000



Of them, arrangement A has the highest stability.



Arrangement A

The following is a PBE calculation of crystalline LiCuHAu2 at its relaxed geometry, from the Alexandria database.

Lattice parameters (Å, degrees): 4.248 4.248 3.588 90.00 90.00 90.00
Fractional coordinates of all 5 atoms:
Li: 0.000 0.000 0.000
Cu: 0.500 0.500 0.000
H: 0.500 0.500 0.500
Au: 0.000 0.500 0.500
Au: 0.500 0.000 0.500



Arrangement B

The following is a PBE calculation of crystalline LiCuHAu2 at its relaxed geometry, from the Alexandria database.

Lattice parameters (Å, degrees): 4.107 4.107 3.805 90.00 90.00 90.00
Fractional coordinates of all 5 atoms:
Li: 0.000 0.000 0.000
Cu: 0.500 0.500 0.000
H: 0.000 0.000 0.500
Au: 0.000 0.500 0.500
Au: 0.500 0.000 0.500



Of them, arrangement B has the highest stability.



Arrangement A

The following is a PBE calculation of crystalline Mn2CuHAu at its relaxed geometry, from the Alexandria database.

Lattice parameters (Å, degrees): 3.860 3.860 3.961 90.00 90.00 90.00
Fractional coordinates of all 5 atoms:
Mn: 0.000 0.500 0.000
Mn: 0.500 0.000 0.000
Cu: 0.000 0.000 0.500
H: 0.000 0.000 0.000
Au: 0.500 0.500 0.500



Arrangement B

The following is a PBE calculation of crystalline Mn2CuHAu at its relaxed geometry, from the Alexandria database.

Lattice parameters (Å, degrees): 3.844 3.844 4.075 90.00 90.00 90.00
Fractional coordinates of all 5 atoms:
Mn: 0.000 0.500 0.000
Mn: 0.500 0.000 0.000
Cu: 0.000 0.000 0.500
H: 0.500 0.500 0.000
Au: 0.500 0.500 0.500



Of them, arrangement A has the highest stability.



Arrangement A

The following is a PBE calculation of crystalline Nb2CuHAu at its relaxed geometry, from the Alexandria database.

Lattice parameters (Å, degrees): 4.101 4.101 4.079 90.00 90.00 90.00
Fractional coordinates of all 5 atoms:
Nb: 0.000 0.500 0.000
Nb: 0.500 0.000 0.000
Cu: 0.000 0.000 0.500
H: 0.000 0.000 0.000
Au: 0.500 0.500 0.500



Arrangement B

The following is a PBE calculation of crystalline Nb2CuHAu at its relaxed geometry, from the Alexandria database.

Lattice parameters (Å, degrees): 3.979 3.979 4.374 90.00 90.00 90.00
Fractional coordinates of all 5 atoms:
Nb: 0.000 0.500 0.000
Nb: 0.500 0.000 0.000
Cu: 0.000 0.000 0.500
H: 0.500 0.500 0.000
Au: 0.500 0.500 0.500



Of them, arrangement A has the highest stability.



Arrangement A

The following is a PBE calculation of crystalline CuNi2HAu at its relaxed geometry, from the Alexandria database.

Lattice parameters (Å, degrees): 3.682 3.682 4.014 90.00 90.00 90.00
Fractional coordinates of all 5 atoms:
Cu: 0.000 0.000 0.000
Ni: 0.000 0.500 0.500
Ni: 0.500 0.000 0.500
H: 0.500 0.500 0.500
Au: 0.500 0.500 0.000



Arrangement B

The following is a PBE calculation of crystalline CuNi2HAu at its relaxed geometry, from the Alexandria database.

Lattice parameters (Å, degrees): 3.715 3.715 3.882 90.00 90.00 90.00
Fractional coordinates of all 5 atoms:
Cu: 0.000 0.000 0.000
Ni: 0.000 0.500 0.500
Ni: 0.500 0.000 0.500
H: 0.000 0.000 0.500
Au: 0.500 0.500 0.000



Of them, arrangement B has the highest stability.